Entry 1:
Below is a geometry-optimized Tc3Ir2Rh2 structure, with properties calculated at the PBE level.

It has space group P-1 (No. 2), with a = 3.8081 Å, b = 3.8621 Å, c = 7.8839 Å, α = 103.98°, β = 103.97° and γ = 90.02°. The inequivalent atoms are Tc at (0.0000, 0.0000, 0.0000), Tc at (0.2535, 0.2701, 0.5122), Ir at (0.3787, 0.8850, 0.7585) and Rh at (0.1187, 0.6138, 0.2354).


Entry 2:
Below is a geometry-optimized Tc2IrRh structure, with properties calculated at the PBE level.

It has space group Cm (No. 8), with a = 9.0433 Å, b = 2.7093 Å, c = 4.7754 Å, α = 90.00°, β = 99.60° and γ = 90.00°. The inequivalent atoms are Tc at (0.0000, 0.0000, 0.0000), Tc at (0.2497, 0.0000, 0.7398), Ir at (0.2453, 0.5000, 0.2334) and Rh at (0.0007, 0.5000, 0.5016).

Its relative energy among the computed polymorphs is 133.3 meV per atom.


| no. | calculated formation energy (eV per atom) | N(E_F) (states/eV/atom) |
| --- | --- | --- |
| 1 | 0.167 | 0.9267 |
| 2 | -0.099 | 1.0984 |